Entry one
Density functional theory data (PBE) for crystalline Th3Sc at its relaxed geometry.

Results
V: 30.66 Å³ per atom

abc: 7.887 7.887 7.887
angles: 90.00 90.00 90.00
Space group Fm-3m (No. 225)
One atom of each set of equivalent atoms:
Th1 0.000 0.000 0.000
Th2 0.250 0.250 0.250
Sc1 0.000 0.000 0.500

Entry two
Density functional theory data (PBE) for crystalline Th3Sc at its relaxed geometry.

Results
V: 30.40 Å³ per atom

abc: 4.930 4.930 10.004
angles: 90.00 90.00 90.00
Space group I4/mmm (No. 139)
One atom of each set of equivalent atoms:
Th1 0.000 0.000 0.000
Th2 0.000 0.500 0.250
Sc1 0.000 0.000 0.500

Stability check: which of them is least stable? entry one.

Entry one
Density functional theory data (PBE) for crystalline Th4Sc5 at its relaxed geometry.

Results
V: 27.86 Å³ per atom

abc: 10.115 10.115 4.901
angles: 90.00 90.00 90.00
Space group I4/mmm (No. 139)
One atom of each set of equivalent atoms:
Th1 0.000 0.327 0.000
Sc1 0.000 0.000 0.000
Sc2 0.166 0.166 0.500

Entry two
Density functional theory data (PBE) for crystalline Th4Sc5 at its relaxed geometry.

Results
V: 28.23 Å³ per atom

abc: 9.3705 9.3705 6.6814
angles: 90.00 90.00 120.00
Space group P6_3/mcm (No. 193)
One atom of each set of equivalent atoms:
Th1 0.0000 0.0000 0.0000
Th2 0.0000 0.3515 0.2500
Sc1 0.0000 0.3225 0.7500
Sc2 0.3333 0.6667 0.0000

Stability check: which of them is least stable? entry two.

Entry one
Density functional theory data (PBE) for crystalline Th3Sc5 at its relaxed geometry.

Results
V: 27.51 Å³ per atom

abc: 3.444 3.444 18.559
angles: 90.00 90.00 90.00
Space group P4/mmm (No. 123)
One atom of each set of equivalent atoms:
Th1 0.000 0.000 0.000
Th2 0.500 0.500 0.372
Sc1 0.000 0.000 0.247
Sc2 0.000 0.000 0.500
Sc3 0.500 0.500 0.124

Entry two
Density functional theory data (PBE) for crystalline Th3Sc5 at its relaxed geometry.

Results
V: 27.28 Å³ per atom

abc: 9.174 9.702 4.903
angles: 90.00 90.00 90.00
Space group Cmmm (No. 65)
One atom of each set of equivalent atoms:
Th1 0.000 0.000 0.000
Th2 0.000 0.256 0.500
Sc1 0.000 0.500 0.000
Sc2 0.248 0.000 0.500
Sc3 0.250 0.250 0.000

Stability check: which of them is least stable? entry one.

Entry one
Density functional theory data (PBE) for crystalline Th5Sc3 at its relaxed geometry.

Results
V: 29.47 Å³ per atom

abc: 3.506 3.506 19.186
angles: 90.00 90.00 90.00
Space group P4/mmm (No. 123)
One atom of each set of equivalent atoms:
Th1 0.000 0.000 0.000
Th2 0.000 0.000 0.245
Th3 0.500 0.500 0.376
Sc1 0.000 0.000 0.500
Sc2 0.500 0.500 0.120

Entry two
Density functional theory data (PBE) for crystalline Th5Sc3 at its relaxed geometry.

Results
V: 29.54 Å³ per atom

abc: 9.740 9.789 4.958
angles: 90.00 90.00 90.00
Space group Cmmm (No. 65)
One atom of each set of equivalent atoms:
Th1 0.000 0.000 0.000
Th2 0.248 0.500 0.500
Th3 0.250 0.250 0.000
Sc1 0.000 0.250 0.500
Sc2 0.000 0.500 0.000

Stability check: which of them is least stable? entry two.